DFT (PBE-GGA) results for a relaxed GeBiHPt2 crystal.

Computed properties:
total DFT energy (no corrections) = -3.306 eV per atom

CIF file:
```
data_GeBiHPt2
_space_group_name_H-M_alt 'P 1'
_space_group_IT_number 1
_space_group_name_Hall 'P 1'
_cell_length_a 5.165
_cell_length_b 5.574
_cell_length_c 5.165
_cell_angle_alpha 90.00
_cell_angle_beta 90.00
_cell_angle_gamma 90.00
loop_
_atom_site_label
_atom_site_fract_x
_atom_site_fract_y
_atom_site_fract_z
Pt1 0.000 0.000 0.500
Pt2 0.500 0.000 0.000
H1 0.500 0.500 0.500
Bi1 0.000 0.000 0.000
Ge1 0.000 0.500 0.000
```

DFT (PBE-GGA) results for a relaxed NaPmTc2O8 crystal.

Computed properties:
formation energy from raw total energies = -182.9 kJ/mol of atoms
total DFT energy (no corrections) = -7.435 eV per atom

CIF file:
```
data_NaPmTc2O8
_space_group_name_H-M_alt 'P 1'
_space_group_IT_number 1
_space_group_name_Hall 'P 1'
_cell_length_a 5.309
_cell_length_b 5.309
_cell_length_c 6.965
_cell_angle_alpha 112.40
_cell_angle_beta 112.40
_cell_angle_gamma 90.00
loop_
_atom_site_label
_atom_site_fract_x
_atom_site_fract_y
_atom_site_fract_z
O1 0.579 0.696 0.669
O2 0.422 0.328 0.154
O3 0.027 0.421 0.331
O4 0.672 0.268 0.846
O5 0.732 0.826 0.154
O6 0.304 0.910 0.331
O7 0.090 0.973 0.669
O8 0.174 0.578 0.846
Tc1 0.500 0.500 0.000
Tc2 0.250 0.750 0.500
Pm1 0.000 0.000 0.000
Na1 0.750 0.250 0.500
```

DFT (PBE-GGA) results for a relaxed BC2 crystal.

Computed properties:
excess energy over the best structure of this formula in the dataset = 79 meV/atom
total DFT energy (no corrections) = -8.057 eV per atom

CIF file:
```
data_BC2
_space_group_name_H-M_alt 'P 1'
_space_group_IT_number 1
_space_group_name_Hall 'P 1'
_cell_length_a 2.524
_cell_length_b 2.510
_cell_length_c 12.007
_cell_angle_alpha 90.00
_cell_angle_beta 90.00
_cell_angle_gamma 90.00
loop_
_atom_site_label
_atom_site_fract_x
_atom_site_fract_y
_atom_site_fract_z
C1 0.000 0.000 0.333
C2 0.000 0.000 0.014
C3 0.500 0.000 0.262
C4 0.500 0.500 0.836
C5 0.500 0.500 0.483
C6 0.000 0.500 0.083
C7 0.000 0.500 0.412
C8 0.000 0.000 0.659
B1 0.500 0.000 0.922
B2 0.000 0.500 0.748
B3 0.500 0.500 0.173
B4 0.500 0.000 0.574
```

> What is the formula in the second record?

NaPmTc2O8